Entry 1:
The following is a DFT calculation (PBE) of Y2Th3Co2 after structural relaxation.

Lattice parameters (Å, degrees): 6.1216 6.1216 8.8449 109.45 109.45 35.24
Last column: nearest neighbours and their distance in Å.
Positions (direct):
Y (0.1689, 0.1689, 0.3009)  2 Co 3.02
Y (0.8311, 0.8311, 0.6991)  2 Co 3.02
Th (0.3816, 0.3816, 0.0725)  2 Co 2.71
Th (0.5000, 0.5000, 0.5000)  4 Co 2.68
Th (0.6184, 0.6184, 0.9275)  2 Co 2.71
Co (0.1298, 0.1298, 0.7094)  4 Th 2.68-2.71
Co (0.8702, 0.8702, 0.2906)  4 Th 2.68-2.71

Raw total energy in eV/atom: -7.270
ΔH_f (0 K) in meV per atom: -213.3
Calculated volume in Å³/atom: 25.597
Space group: C2/m, No. 12

Entry 2:
The following is a DFT calculation (PBE) of Y3Th2Co2 after structural relaxation.

Lattice parameters (Å, degrees): 3.6442 6.2443 8.8489 102.17 101.82 106.92
Last column: nearest neighbours and their distance in Å.
Positions (direct):
Y (0.0000, 0.0000, 0.0000)  4 Co 3.01
Y (0.3046, 0.1887, 0.4213)  3 Co 2.79-3.08
Y (0.6954, 0.8113, 0.5787)  3 Co 2.79-3.08
Th (0.1348, 0.4566, 0.8129)  2 Co 2.60
Th (0.8652, 0.5434, 0.1871)  2 Co 2.60
Co (0.4479, 0.1326, 0.7638)  2 Th 2.60, 2 Y 2.79
Co (0.5521, 0.8674, 0.2362)  2 Th 2.60, 2 Y 2.79

Raw total energy in eV/atom: -7.108
ΔH_f (0 K) in meV per atom: -187.8
Calculated volume in Å³/atom: 25.790
Space group: P-1, No. 2

Entry 3:
The following is a DFT calculation (PBE) of Y3ThCo after structural relaxation.

Lattice parameters (Å, degrees): 7.1782 7.1782 8.0551 123.65 123.65 72.78
Last column: nearest neighbours and their distance in Å.
Positions (direct):
Y (0.0454, 0.0454, 0.2568)  1 Co 2.68
Y (0.0509, 0.4571, 0.7939)  1 Co 2.63
Y (0.4571, 0.0509, 0.7939)  1 Co 2.63
Y (0.5429, 0.9491, 0.2061)  1 Co 2.63
Y (0.9491, 0.5429, 0.2061)  1 Co 2.63
Y (0.9546, 0.9546, 0.7432)  1 Co 2.68
Th (0.4560, 0.4560, 0.6677)  1 Co 2.44
Th (0.5440, 0.5440, 0.3323)  1 Co 2.44
Co (0.2627, 0.2627, 0.1342)  1 Th 2.44, 3 Y 2.63-2.68
Co (0.7373, 0.7373, 0.8658)  1 Th 2.44, 3 Y 2.63-2.68

Energy above the most stable polymorph in this dataset in eV/f.u.: 0.00
Raw total energy in eV/atom: -6.877
ΔH_f (0 K) in meV per atom: -93.9
Calculated volume in Å³/atom: 28.757
Space group: C2/m, No. 12

Entry 4:
The following is a DFT calculation (PBE) of YThCo after structural relaxation.

Lattice parameters (Å, degrees): 3.8452 3.8452 6.2475 90.00 90.00 120.00
Last column: nearest neighbours and their distance in Å.
Positions (direct):
Y (0.0000, 0.0000, 0.0000)  3 Co 2.77
Th (0.3333, 0.6667, 0.4932)  3 Co 2.63
Co (0.6667, 0.3333, 0.2662)  3 Th 2.63, 3 Y 2.77

Energy above the most stable polymorph in this dataset in eV/f.u.: 0.19
Raw total energy in eV/atom: -7.114
ΔH_f (0 K) in meV per atom: -117.1
Calculated volume in Å³/atom: 26.666
Space group: P3m1, No. 156

Entry 5:
The following is a DFT calculation (PBE) of YThCo2 after structural relaxation.

Lattice parameters (Å, degrees): 4.8168 4.8168 4.8168 60.00 60.00 60.00
Last column: nearest neighbours and their distance in Å.
Positions (direct):
Y (0.0000, 0.0000, 0.0000)  8 Co 2.95
Th (0.5000, 0.5000, 0.5000)  8 Co 2.95
Co (0.2500, 0.2500, 0.2500)  4 Th 2.95, 4 Y 2.95
Co (0.7500, 0.7500, 0.7500)  4 Th 2.95, 4 Y 2.95

Energy above the most stable polymorph in this dataset in eV/f.u.: 0.50
Raw total energy in eV/atom: -7.151
ΔH_f (0 K) in meV per atom: -127.2
Calculated volume in Å³/atom: 19.756
Space group: Fm-3m, No. 225

Entry 6:
The following is a DFT calculation (PBE) of Y2ThCo after structural relaxation.

Lattice parameters (Å, degrees): 6.9708 9.6802 6.3164 90.00 90.00 90.00
Last column: nearest neighbours and their distance in Å.
Positions (direct):
Y (0.1685, 0.0697, 0.1763)  2 Co 2.88-2.92
Y (0.1685, 0.4303, 0.1763)  2 Co 2.88-2.92
Y (0.3315, 0.5697, 0.6763)  2 Co 2.88-2.92
Y (0.3315, 0.9303, 0.6763)  2 Co 2.88-2.92
Y (0.6685, 0.0697, 0.3237)  2 Co 2.88-2.92
Y (0.6685, 0.4303, 0.3237)  2 Co 2.88-2.92
Y (0.8315, 0.5697, 0.8237)  2 Co 2.88-2.92
Y (0.8315, 0.9303, 0.8237)  2 Co 2.88-2.92
Th (0.0551, 0.2500, 0.6643)  2 Co 2.50-2.63
Th (0.4449, 0.7500, 0.1643)  2 Co 2.50-2.63
Th (0.5551, 0.2500, 0.8357)  2 Co 2.50-2.63
Th (0.9449, 0.7500, 0.3357)  2 Co 2.50-2.63
Co (0.1312, 0.7500, 0.9739)  2 Th 2.50-2.63
Co (0.3688, 0.2500, 0.4739)  2 Th 2.50-2.63
Co (0.6312, 0.7500, 0.5261)  2 Th 2.50-2.63
Co (0.8688, 0.2500, 0.0261)  2 Th 2.50-2.63

Energy above the most stable polymorph in this dataset in eV/f.u.: 0.00
Raw total energy in eV/atom: -7.061
ΔH_f (0 K) in meV per atom: -197.4
Calculated volume in Å³/atom: 26.639
Space group: Pnma, No. 62